Record 1
# NbNiAs

An optimized crystal structure of NbNiAs (PBE-GGA, Alexandria via LeMat-Bulk).

Computed properties:
N(E_F) (states/eV/atom): 0.70
SG: P2_1/m
Formation enthalpy at 0 K (meV per atom): -493.8

a b c (Å): 6.387 3.740 10.949
angles (deg): 90.00 90.80 90.00
Fractional coordinates of all 18 atoms:
Nb1 0.023 0.250 0.115
Nb2 0.140 0.250 0.421
Nb3 0.475 0.750 0.788
Nb4 0.525 0.250 0.212
Nb5 0.860 0.750 0.579
Nb6 0.977 0.750 0.885
Ni1 0.139 0.250 0.704
Ni2 0.346 0.750 0.044
Ni3 0.486 0.750 0.413
Ni4 0.514 0.250 0.587
Ni5 0.654 0.250 0.956
Ni6 0.861 0.750 0.296
As1 0.228 0.750 0.252
As2 0.272 0.750 0.587
As3 0.274 0.250 0.917
As4 0.726 0.750 0.083
As5 0.728 0.250 0.413
As6 0.772 0.250 0.748



Record 2
# RbS2ICl

An optimized crystal structure of RbS2ICl (PBE-GGA, Alexandria via LeMat-Bulk).

Computed properties:
N(E_F) (states/eV/atom): 1.08
Distance to the lowest polymorph of the same formula (eV/f.u.): 1.85
Raw formation energy (eV per atom): 0.187
SG: P4/mmm

a b c (Å): 4.881 4.881 6.696
angles (deg): 90.00 90.00 90.00
Fractional coordinates of all 5 atoms:
Rb1 0.000 0.000 0.000
S1 0.000 0.500 0.500
S2 0.500 0.000 0.500
I1 0.500 0.500 0.000
Cl1 0.000 0.000 0.500



Record 3
# Zn4Ni

An optimized crystal structure of Zn4Ni (PBE-GGA, Alexandria via LeMat-Bulk).

Computed properties:
N(E_F) (states/eV/atom): 0.17
SG: I4/m
Formation enthalpy at 0 K (meV per atom): -126.7

a b c (Å): 4.656 4.656 4.656
angles (deg): 99.06 99.06 133.24
Fractional coordinates of all 5 atoms:
Zn1 0.102 0.708 0.810
Zn2 0.292 0.102 0.394
Zn3 0.708 0.898 0.606
Zn4 0.898 0.292 0.190
Ni1 0.500 0.500 0.000



Record 4
# La3HgO

An optimized crystal structure of La3HgO (PBE-GGA, Alexandria via LeMat-Bulk).

Computed properties:
N(E_F) (states/eV/atom): 0.70
Distance to the lowest polymorph of the same formula (eV/f.u.): 0.62
Raw formation energy (eV per atom): -1.240
SG: P2_1/c

a b c (Å): 9.076 6.679 9.755
angles (deg): 90.00 115.21 90.00
Fractional coordinates of all 20 atoms:
La1 0.059 0.095 0.353
La2 0.059 0.405 0.853
La3 0.188 0.590 0.545
La4 0.188 0.910 0.045
La5 0.351 0.115 0.761
La6 0.351 0.385 0.261
La7 0.649 0.615 0.739
La8 0.649 0.885 0.239
La9 0.812 0.090 0.955
La10 0.812 0.410 0.455
La11 0.941 0.595 0.147
La12 0.941 0.905 0.647
Hg1 0.403 0.666 0.907
Hg2 0.403 0.834 0.407
Hg3 0.597 0.166 0.593
Hg4 0.597 0.334 0.093
O1 0.075 0.246 0.610
O2 0.075 0.254 0.110
O3 0.925 0.746 0.890
O4 0.925 0.754 0.390